[1]
Here is Ac6CuHg2 after structural relaxation from Alexandria. Energies are from PBE.

Unit cell a=7.145 b=8.549 c=11.099 alpha=90.00 beta=91.43 gamma=90.00
Fractional coordinates of all 18 atoms:
Ac: 0.649 0.167 0.944
Ac: 0.153 0.295 0.060
Ac: 0.347 0.795 0.440
Ac: 0.144 0.041 0.757
Ac: 0.856 0.959 0.243
Ac: 0.847 0.705 0.940
Ac: 0.644 0.459 0.257
Ac: 0.851 0.667 0.556
Ac: 0.351 0.833 0.056
Ac: 0.356 0.541 0.743
Ac: 0.149 0.333 0.444
Ac: 0.653 0.205 0.560
Hg: 0.425 0.111 0.269
Hg: 0.925 0.389 0.769
Hg: 0.075 0.611 0.231
Hg: 0.575 0.889 0.731
Cu: 0.500 0.500 0.000
Cu: 0.000 0.000 0.500

Results
ΔH_f (0 K) = -0.169 eV per atom


[2]
Here is Sr3Cd2Rh7 after structural relaxation from Alexandria. Energies are from PBE.

Unit cell a=5.568 b=5.568 c=9.390 alpha=72.75 beta=72.75 gamma=60.00
Fractional coordinates of all 12 atoms:
Rh: 0.411 0.918 0.259
Rh: 0.918 0.411 0.259
Rh: 0.411 0.411 0.259
Rh: 0.500 0.500 0.500
Rh: 0.589 0.589 0.741
Rh: 0.082 0.589 0.741
Rh: 0.589 0.082 0.741
Sr: 0.860 0.860 0.420
Sr: 0.000 0.000 0.000
Sr: 0.140 0.140 0.580
Cd: 0.334 0.334 0.997
Cd: 0.666 0.666 0.003

Results
ΔH_f (0 K) = -0.251 eV per atom


[3]
Here is KCuNi2 after structural relaxation from Alexandria. Energies are from PBE.

Unit cell a=5.704 b=5.704 c=5.704 alpha=153.43 beta=127.92 gamma=59.41
Fractional coordinates of all 4 atoms:
Ni: 0.036 0.036 0.000
Ni: 0.464 0.464 0.000
K: 0.750 0.250 0.500
Cu: 0.250 0.750 0.500

Results
ΔH_f (0 K) = 0.701 eV per atom
ΔE to the lowest computed polymorph = 404 meV/atom